Na2Tl2Ag PBE relaxed; distance to the lowest polymorph of the same formula = 0.00 eV/f.u.; space group = C2/m; total magnetization = 0.0 Bohr magnetons per cell
1.0
-4.3828 0.8445 1.3636
-1.9616 -3.4177 3.7983
-0.2887 3.3932 4.9575
Ag Na Tl
1 2 2
Direct
0.0000 0.0000 0.0000
0.7990 0.7974 0.6047
0.2010 0.2026 0.3953
0.4027 0.3803 0.8142
0.5973 0.6197 0.1858


Na2TlAg PBE relaxed; space group = P4/mmm; total magnetization = 0.0 Bohr magnetons per cell; electronic total energy = -2.00 eV/atom
1.0
-0.9185 -3.1933 -1.5119
1.9755 0.8310 -2.9552
6.1410 -3.2740 3.1845
Ag Tl Na
1 1 2
Direct
0.5000 0.5000 0.0000
0.5000 0.5000 0.5000
0.0000 0.0000 0.7764
0.0000 0.0000 0.2236


Na5TlAg5 PBE relaxed; space group = P-6m2; total magnetization = 0.0 Bohr magnetons per cell; electronic total energy = -2.13 eV/atom
1.0
-0.2482 -4.2080 -3.6893
4.8994 1.3985 2.3281
-1.7602 -6.6415 7.6939
Ag Na Tl
5 5 1
Direct
0.8309 0.1691 0.5000
0.8309 0.6619 0.5000
0.3381 0.1691 0.5000
0.0000 0.0000 0.7253
0.0000 0.0000 0.2747
0.6667 0.3333 0.2026
0.3333 0.6667 0.3345
0.0000 0.0000 0.0000
0.6667 0.3333 0.7974
0.3333 0.6667 0.6655
0.3333 0.6667 0.0000


Na2Tl3Ag PBE relaxed; distance to the lowest polymorph of the same formula = 0.03 eV/f.u.; space group = Cmmm; total magnetization = 0.0 Bohr magnetons per cell
1.0
9.1120 0.0000 0.0000
0.0000 7.1652 -1.5774
0.0000 -4.4268 5.8508
Tl Na Ag
6 4 2
Direct
0.4696 0.5004 0.5004
0.9697 0.1517 0.8477
0.4697 0.8483 0.1523
0.4697 0.1523 0.8483
0.9696 0.4996 0.4996
0.9697 0.8477 0.1517
0.7196 0.6625 0.3365
0.7196 0.3365 0.6625
0.2196 0.6635 0.3375
0.2196 0.3375 0.6635
0.2197 0.0000 0.0000
0.7197 0.0000 0.0000


NaTlAg4 PBE relaxed; space group = F-43m; total magnetization = 0.0 Bohr magnetons per cell; electronic total energy = -2.51 eV/atom
1.0
5.6831 0.0000 0.0000
2.8415 4.9217 0.0000
2.8415 1.6406 4.6402
Ag Tl Na
4 1 1
Direct
0.6247 0.6247 0.1259
0.1259 0.6247 0.6247
0.6247 0.1259 0.6247
0.6247 0.6247 0.6247
0.0000 0.0000 0.0000
0.2500 0.2500 0.2500


Na2Tl2Ag PBE relaxed; distance to the lowest polymorph of the same formula = 1.05 eV/f.u.; space group = I4/mmm; total magnetization = 0.0 Bohr magnetons per cell
1.0
-3.4776 0.9463 2.0117
-2.2227 -1.5551 -3.1108
-2.7630 -7.5228 2.9968
Na Tl Ag
2 2 1
Direct
0.7500 0.2500 0.5000
0.2500 0.7500 0.5000
0.5936 0.5936 0.8128
0.4064 0.4064 0.1872
0.0000 0.0000 0.0000